VASP calculation (PBE) on an optimized crystal structure of Ce2NbSi2Ru5.

Cell lengths 10.0911, 10.0911, 3.3205 Å; angles 90.00, 90.00, 90.00 degrees
Positions (direct):
Ce 0.1742 0.3258 0.0000
Ce 0.3258 0.8258 0.0000
Ce 0.6742 0.1742 0.0000
Ce 0.8258 0.6742 0.0000
Nb 0.0000 0.0000 0.0000
Nb 0.5000 0.5000 0.0000
Si 0.1237 0.6237 0.0000
Si 0.3763 0.1237 0.0000
Si 0.6237 0.8763 0.0000
Si 0.8763 0.3763 0.0000
Ru 0.0000 0.5000 0.5000
Ru 0.0684 0.7894 0.5000
Ru 0.2106 0.0684 0.5000
Ru 0.2894 0.5684 0.5000
Ru 0.4316 0.2894 0.5000
Ru 0.5000 0.0000 0.5000
Ru 0.5684 0.7106 0.5000
Ru 0.7106 0.4316 0.5000
Ru 0.7894 0.9316 0.5000
Ru 0.9316 0.2106 0.5000

Properties
The value obtained for the total DFT energy (no corrections) is -169.526 eV for the cell shown. As for the crystal system: tetragonal.